Entry from Alexandria: a geometry-optimized NiRhF4 structure (PBE+U).

The structure belongs to space group C2/c (No. 15); the cell edges are 7.0236, 11.5774 and 5.0694 Å and the angles 90.00°, 133.31° and 90.00°. The inequivalent atoms are Ni at (0.0000, 0.1811, 0.2500), Rh at (0.0000, 0.4253, 0.7500), F at (0.1997, 0.3008, 0.2150) and F at (0.2278, 0.0604, 0.2811).

As for the total energy: -0.3237 Ry per atom. The size of the total moment is 12.09 Bohr magnetons per cell.